A relaxed structure of SeS, computed with PBE.

Cell and atoms, written as POSCAR:
```
SeS
1.0
11.198 0.000 0.000
0.000 11.198 0.000
0.000 0.000 5.290
Se S
8 8
Direct
0.084 0.634 0.000
0.167 0.238 0.500
0.238 0.833 0.500
0.366 0.084 0.000
0.634 0.916 0.000
0.762 0.167 0.500
0.833 0.762 0.500
0.916 0.366 0.000
0.091 0.716 0.500
0.150 0.462 0.000
0.284 0.091 0.500
0.462 0.850 0.000
0.538 0.150 0.000
0.716 0.909 0.500
0.850 0.538 0.000
0.909 0.284 0.500
```

Computed properties:
Relative energy among the computed polymorphs, eV/f.u.: 0.512
Total moment, μB/f.u.: 0.214
Crystal system: tetragonal
Space group: No. 83
Calculated density, kg/m3: 2224
DFT total energy, eV/atom: -3.505
Raw formation energy, eV per atom: 0.3005

A relaxed structure of La2Ga4Ni5, computed with PBE.

Cell and atoms, written as POSCAR:
```
La2Ga4Ni5
1.0
0.000 4.715 7.346
2.727 0.000 7.346
2.727 4.715 0.000
La Ga Ni
2 4 5
Direct
0.137 0.137 0.863
0.863 0.863 0.137
0.212 0.533 0.467
0.467 0.788 0.212
0.533 0.212 0.788
0.788 0.467 0.533
0.000 0.000 0.500
0.250 0.250 0.250
0.500 0.500 0.000
0.500 0.500 0.500
0.750 0.750 0.750
```

Computed properties:
Total moment, μB/f.u.: 0.000
Crystal system: orthorhombic
Space group: No. 69
Calculated density, kg/m3: 7473
DFT total energy, eV/atom: -5.128
Energy of formation from the pure elements, kJ/mol of formula units: -534

Q: Number 2 is which compound?
A: La2Ga4Ni5

Q: Among the records above, which one has the lowest DFT total energy?
A: La2Ga4Ni5